Entry 1:
Density functional theory data (GGA-PBEsol) for a geometry-optimized LiSn2P3O12 structure.

Lattice parameters (Å, degrees): 8.696 12.015 8.807 90.00 90.00 90.00
Space group Pca2_1 (No. 29)
Inequivalent atoms, fractional coordinates:
Li1 0.035 0.079 0.000 x4
Sn1 0.000 0.379 0.748 x4
Sn2 0.002 0.860 0.824 x4
P1 0.144 0.103 0.678 x4
P2 0.152 0.398 0.399 x4
P3 0.209 0.743 0.532 x4
O1 0.070 0.461 0.273 x4
O2 0.079 0.022 0.801 x4
O3 0.085 0.063 0.520 x4
O4 0.092 0.218 0.721 x4
O5 0.093 0.821 0.618 x4
O6 0.100 0.434 0.558 x4
O7 0.115 0.663 0.438 x4
O8 0.120 0.272 0.379 x4
O9 0.173 0.415 0.892 x4
O10 0.177 0.092 0.176 x4
O11 0.191 0.679 0.143 x4
O12 0.200 0.826 0.932 x4

Computed properties:
electronic total energy	-512.55	eV per cell
polymorph energy (0 for the lowest one)	18	meV per atom
formation energy (no corrections)	-2071	meV/atom

=====

Entry 2:
Density functional theory data (GGA-PBEsol) for a geometry-optimized LiSn2P3O12 structure.

Lattice parameters (Å, degrees): 8.386 8.400 9.047 90.43 117.59 119.41
Space group P-1 (No. 2)
Inequivalent atoms, fractional coordinates:
Li1 0.110 0.427 0.364 x2
Sn1 0.206 0.856 0.549 x2
Sn2 0.212 0.348 0.068 x2
P1 0.005 0.964 0.753 x2
P2 0.285 0.747 0.246 x2
P3 0.286 0.537 0.743 x2
O1 0.091 0.709 0.073 x2
O2 0.115 0.245 0.240 x2
O3 0.125 0.358 0.577 x2
O4 0.135 0.101 0.937 x2
O5 0.164 0.992 0.699 x2
O6 0.169 0.007 0.379 x2
O7 0.212 0.678 0.708 x2
O8 0.223 0.697 0.387 x2
O9 0.289 0.485 0.904 x2
O10 0.350 0.610 0.226 x2
O11 0.471 0.957 0.309 x2
O12 0.493 0.371 0.236 x2

Computed properties:
electronic total energy	-256.91	eV per cell
polymorph energy (0 for the lowest one)	0	meV per atom
formation energy (no corrections)	-2089	meV/atom

=====

Entry 3:
Density functional theory data (GGA-PBEsol) for a geometry-optimized Li4SnP2O8 structure.

Lattice parameters (Å, degrees): 9.488 10.036 7.996 90.00 98.83 90.00
Space group P2_1/c (No. 14)
Inequivalent atoms, fractional coordinates:
Li1 0.018 0.078 0.242 x4
Li2 0.089 0.162 0.943 x4
Li3 0.128 0.667 0.902 x4
Li4 0.288 0.171 0.294 x4
Sn1 0.398 0.647 0.239 x4
P1 0.180 0.090 0.619 x4
P2 0.226 0.593 0.575 x4
O1 0.048 0.099 0.713 x4
O2 0.093 0.653 0.466 x4
O3 0.142 0.151 0.440 x4
O4 0.198 0.051 0.122 x4
O5 0.208 0.564 0.099 x4
O6 0.265 0.677 0.742 x4
O7 0.311 0.155 0.721 x4
O8 0.357 0.607 0.481 x4

Computed properties:
electronic total energy	-396.40	eV per cell
formation energy (no corrections)	-2226	meV/atom

=====

Entry 4:
Density functional theory data (GGA-PBEsol) for a geometry-optimized Li4SnP6O18 structure.

Lattice parameters (Å, degrees): 11.918 8.402 14.401 90.00 93.59 90.00
Space group C2/c (No. 15)
Inequivalent atoms, fractional coordinates:
Li1 0.166 0.157 0.440 x8
Li2 0.173 0.499 0.433 x8
Sn1 0.000 0.327 0.250 x4
P1 0.071 0.337 0.608 x8
P2 0.079 0.001 0.115 x8
P3 0.225 0.181 0.737 x8
O1 0.006 0.129 0.373 x8
O2 0.010 0.165 0.602 x8
O3 0.018 0.460 0.886 x8
O4 0.139 0.326 0.709 x8
O5 0.144 0.028 0.716 x8
O6 0.154 0.347 0.534 x8
O7 0.161 0.011 0.041 x8
O8 0.187 0.321 0.336 x8
O9 0.236 0.311 0.165 x8

Computed properties:
electronic total energy	-817.22	eV per cell
polymorph energy (0 for the lowest one)	5	meV per atom
formation energy (no corrections)	-2170	meV/atom

=====

Entry 5:
Density functional theory data (GGA-PBEsol) for a geometry-optimized LiSnPO4 structure.

Lattice parameters (Å, degrees): 4.823 4.896 15.202 90.00 90.00 90.00
Space group P2_12_12_1 (No. 19)
Inequivalent atoms, fractional coordinates:
Li1 0.164 0.048 0.499 x4
Sn1 0.240 0.443 0.323 x4
P1 0.171 0.554 0.610 x4
O1 0.012 0.447 0.111 x4
O2 0.044 0.404 0.532 x4
O3 0.056 0.413 0.697 x4
O4 0.074 0.859 0.610 x4

Computed properties:
electronic total energy	-189.70	eV per cell
formation energy (no corrections)	-2059	meV/atom

=====

Entry 6:
Density functional theory data (GGA-PBEsol) for a geometry-optimized LiSnPO4 structure.

Lattice parameters (Å, degrees): 5.528 8.339 9.211 104.52 92.70 103.74
Space group P-1 (No. 2)
Inequivalent atoms, fractional coordinates:
Li1 0.122 0.009 0.370 x2
Li2 0.241 0.562 0.188 x2
Sn1 0.215 0.400 0.613 x2
Sn2 0.220 0.861 0.922 x2
P1 0.208 0.258 0.905 x2
P2 0.280 0.765 0.550 x2
O1 0.055 0.347 0.818 x2
O2 0.079 0.059 0.842 x2
O3 0.090 0.864 0.513 x2
O4 0.156 0.306 0.075 x2
O5 0.199 0.591 0.421 x2
O6 0.205 0.708 0.697 x2
O7 0.446 0.148 0.434 x2
O8 0.482 0.305 0.883 x2

Computed properties:
electronic total energy	-188.46	eV per cell
formation energy (no corrections)	-2014	meV/atom

=====

no.,magnetic moment (μB/cell)
1,0.00
2,0.00
3,0.00
4,0.00
5,0.00
6,0.00